# 1
Below is crystalline PmSmYCd at its relaxed geometry, with properties calculated at the PBE-GGA level.

Calculated values
E above lowest polymorph ... 147 meV/atom
Energy ... -4.221 eV/atom
Energy of formation from the pure elements ... -0.033 eV per formula unit

Cell lengths 7.812, 7.812, 7.812 Å; angles 90.00, 90.00, 90.00 degrees
Space group F-43m (No. 216)
One atom of each set of equivalent atoms:
Pm 0.000 0.000 0.000 x4
Sm 0.250 0.250 0.250 x4
Y 0.250 0.250 0.750 x4
Cd 0.000 0.000 0.500 x4

# 2
Below is crystalline PmSmZnCd at its relaxed geometry, with properties calculated at the PBE-GGA level.

Calculated values
E above lowest polymorph ... 0 meV/atom
Energy ... -3.238 eV/atom
Energy of formation from the pure elements ... -1.292 eV per formula unit

Cell lengths 3.697, 3.697, 7.613 Å; angles 90.00, 90.00, 90.00 degrees
Space group P4mm (No. 99)
One atom of each set of equivalent atoms:
Pm 0.000 0.000 0.000 x1
Sm 0.000 0.000 0.460 x1
Zn 0.500 0.500 0.233 x1
Cd 0.500 0.500 0.728 x1

# 3
Below is crystalline PmSmZnCd at its relaxed geometry, with properties calculated at the PBE-GGA level.

Calculated values
E above lowest polymorph ... 25 meV/atom
Energy ... -3.213 eV/atom
Energy of formation from the pure elements ... -1.194 eV per formula unit

Cell lengths 7.487, 7.487, 7.487 Å; angles 90.00, 90.00, 90.00 degrees
Space group F-43m (No. 216)
One atom of each set of equivalent atoms:
Pm 0.000 0.000 0.000 x4
Sm 0.000 0.000 0.500 x4
Zn 0.250 0.250 0.250 x4
Cd 0.250 0.250 0.750 x4

# 4
Below is crystalline PmCd2Sn2 at its relaxed geometry, with properties calculated at the PBE-GGA level.

Calculated values
E above lowest polymorph ... 147 meV/atom
Energy ... -3.168 eV/atom
Energy of formation from the pure elements ... -1.253 eV per formula unit

Cell lengths 4.413, 4.413, 13.785 Å; angles 90.00, 90.00, 90.00 degrees
Space group I4/mmm (No. 139)
One atom of each set of equivalent atoms:
Pm 0.000 0.000 0.000 x2
Cd 0.000 0.500 0.250 x4
Sn 0.000 0.000 0.395 x4